Entry from Alexandria: crystalline VZnI2 at its relaxed geometry (PBE).

The raw formation energy comes out at 0.394 eV/atom. The polymorph energy (0 for the lowest one) comes out at 372.0 meV per atom.

It has space group Fm-3m (No. 225), with a = 7.432 Å, b = 7.432 Å, c = 7.432 Å, α = 90.00°, β = 90.00° and γ = 90.00°. The inequivalent atoms are V at (0.000, 0.000, 0.000), Zn at (0.000, 0.000, 0.500) and I at (0.250, 0.250, 0.250).

---

Entry from Alexandria: crystalline Ac2AsCl at its relaxed geometry (PBE).

The raw formation energy comes out at -1.274 eV/atom. The polymorph energy (0 for the lowest one) comes out at 253.1 meV per atom.

It has space group P4/mmm (No. 123), with a = 3.867 Å, b = 3.867 Å, c = 7.610 Å, α = 90.00°, β = 90.00° and γ = 90.00°. The inequivalent atoms are Ac at (0.000, 0.000, 0.234), As at (0.500, 0.500, 0.000) and Cl at (0.500, 0.500, 0.500).

---

Entry from Alexandria: crystalline Li3LaPm2Se6 at its relaxed geometry (PBE).

The raw formation energy comes out at -1.690 eV/atom.

It has space group C2/m (No. 12), with a = 7.310 Å, b = 12.669 Å, c = 6.951 Å, α = 90.00°, β = 110.42° and γ = 90.00°. The inequivalent atoms are Li at (0.000, 0.000, 0.000), Li at (0.000, 0.330, 0.000), La at (0.000, 0.500, 0.500), Pm at (0.000, 0.166, 0.500), Se at (0.245, 0.169, 0.242) and Se at (0.247, 0.000, 0.760).

---

Entry from Alexandria: crystalline Sr2ZnPtAu6 at its relaxed geometry (PBE).

It has space group C2/m (No. 12), with a = 12.366 Å, b = 7.158 Å, c = 7.134 Å, α = 90.00°, β = 125.20° and γ = 90.00°. The inequivalent atoms are Sr at (0.250, 0.000, 0.250), Zn at (0.000, 0.000, 0.500), Pt at (0.000, 0.500, 0.000), Au at (0.000, 0.243, 0.257) and Au at (0.243, 0.000, 0.743).

---

Entry from Alexandria: crystalline Hf3TcC at its relaxed geometry (PBE).

The polymorph energy (0 for the lowest one) comes out at 1954.4 meV per atom.

It has space group Pm-3m (No. 221), with a = 4.926 Å, b = 4.926 Å, c = 4.926 Å, α = 90.00°, β = 90.00° and γ = 90.00°. The inequivalent atoms are Hf at (0.000, 0.000, 0.500), Tc at (0.000, 0.000, 0.000) and C at (0.500, 0.500, 0.500).

---

Entry from Alexandria: crystalline Cs3K2Rb3 at its relaxed geometry (PBE).

It has space group Cmcm (No. 63), with a = 8.122 Å, b = 17.603 Å, c = 21.597 Å, α = 90.00°, β = 90.00° and γ = 90.00°. The inequivalent atoms are Cs at (0.000, 0.079, 0.108), Cs at (0.000, 0.318, 0.250), K at (0.000, 0.190, 0.633), Rb at (0.000, 0.366, 0.024) and Rb at (0.000, 0.413, 0.750).

---

Number 1: calculated total energy -47.675 eV for the cell shown. Number 2: calculated total energy -19.810 eV for the cell shown. Number 3: calculated total energy -122.716 eV for the cell shown. Number 4: calculated total energy -66.620 eV for the cell shown. Number 5: calculated total energy -41.073 eV for the cell shown. Number 6: calculated total energy -29.853 eV for the cell shown.